[1]
# TaHg2Cl, relaxed, DFT PBE
# energy relative to the lowest polymorph listed for this composition = 0 meV per atom
# formation energy without anion corrections = -0.141 eV/atom
# M_tot = 0.00 μB/f.u.
data_TaHg2Cl
_space_group_name_H-M_alt 'P 1'
_space_group_IT_number 1
_cell_length_a 3.133
_cell_length_b 3.133
_cell_length_c 32.508
_cell_angle_alpha 90.00
_cell_angle_beta 90.00
_cell_angle_gamma 120.00
loop_
_space_group_symop_operation_xyz
'x,y,z'
loop_
_atom_site_label
_atom_site_type_symbol
_atom_site_fract_x
_atom_site_fract_y
_atom_site_fract_z
_atom_site_occupancy
Ta1 Ta 0.000 0.000 0.000 1
Ta2 Ta 0.333 0.667 0.667 1
Ta3 Ta 0.667 0.333 0.333 1
Hg1 Hg 0.000 0.000 0.500 1
Hg2 Hg 0.000 0.000 0.741 1
Hg3 Hg 0.333 0.667 0.167 1
Hg4 Hg 0.333 0.667 0.408 1
Hg5 Hg 0.667 0.333 0.074 1
Hg6 Hg 0.667 0.333 0.833 1
Cl1 Cl 0.000 0.000 0.280 1
Cl2 Cl 0.333 0.667 0.947 1
Cl3 Cl 0.667 0.333 0.614 1

[2]
# Sm3Tm5Se12, relaxed, DFT PBE
# formation energy without anion corrections = -1.694 eV/atom
# M_tot = 0.00 μB/f.u.
data_Sm3Tm5Se12
_space_group_name_H-M_alt 'P 1'
_space_group_IT_number 1
_cell_length_a 14.562
_cell_length_b 14.562
_cell_length_c 14.562
_cell_angle_alpha 109.47
_cell_angle_beta 109.47
_cell_angle_gamma 109.47
loop_
_space_group_symop_operation_xyz
'x,y,z'
loop_
_atom_site_label
_atom_site_type_symbol
_atom_site_fract_x
_atom_site_fract_y
_atom_site_fract_z
_atom_site_occupancy
Sm1 Sm 0.125 0.250 0.375 1
Sm2 Sm 0.125 0.375 0.750 1
Sm3 Sm 0.250 0.375 0.125 1
Sm4 Sm 0.250 0.875 0.625 1
Sm5 Sm 0.375 0.125 0.250 1
Sm6 Sm 0.375 0.750 0.125 1
Sm7 Sm 0.625 0.250 0.875 1
Sm8 Sm 0.625 0.875 0.750 1
Sm9 Sm 0.750 0.125 0.375 1
Sm10 Sm 0.750 0.625 0.875 1
Sm11 Sm 0.875 0.625 0.250 1
Sm12 Sm 0.875 0.750 0.625 1
Tm1 Tm 0.000 0.000 0.000 1
Tm2 Tm 0.000 0.000 0.500 1
Tm3 Tm 0.000 0.500 0.000 1
Tm4 Tm 0.000 0.500 0.500 1
Tm5 Tm 0.125 0.750 0.875 1
Tm6 Tm 0.125 0.875 0.250 1
Tm7 Tm 0.250 0.125 0.875 1
Tm8 Tm 0.250 0.625 0.375 1
Tm9 Tm 0.375 0.250 0.625 1
Tm10 Tm 0.375 0.625 0.750 1
Tm11 Tm 0.500 0.000 0.000 1
Tm12 Tm 0.500 0.000 0.500 1
Tm13 Tm 0.500 0.500 0.000 1
Tm14 Tm 0.500 0.500 0.500 1
Tm15 Tm 0.625 0.375 0.250 1
Tm16 Tm 0.625 0.750 0.375 1
Tm17 Tm 0.750 0.375 0.625 1
Tm18 Tm 0.750 0.875 0.125 1
Tm19 Tm 0.875 0.125 0.750 1
Tm20 Tm 0.875 0.250 0.125 1
Se1 Se 0.046 0.221 0.129 1
Se2 Se 0.046 0.325 0.917 1
Se3 Se 0.083 0.629 0.409 1
Se4 Se 0.083 0.954 0.675 1
Se5 Se 0.091 0.721 0.675 1
Se6 Se 0.091 0.871 0.417 1
Se7 Se 0.129 0.046 0.221 1
Se8 Se 0.129 0.583 0.909 1
Se9 Se 0.175 0.221 0.591 1
Se10 Se 0.175 0.454 0.583 1
Se11 Se 0.221 0.129 0.046 1
Se12 Se 0.221 0.591 0.175 1
Se13 Se 0.279 0.325 0.909 1
Se14 Se 0.279 0.454 0.371 1
Se15 Se 0.325 0.909 0.279 1
Se16 Se 0.325 0.917 0.046 1
Se17 Se 0.371 0.279 0.454 1
Se18 Se 0.371 0.591 0.917 1
Se19 Se 0.409 0.083 0.629 1
Se20 Se 0.409 0.825 0.779 1
Se21 Se 0.417 0.091 0.871 1
Se22 Se 0.417 0.825 0.546 1
Se23 Se 0.454 0.371 0.279 1
Se24 Se 0.454 0.583 0.175 1
Se25 Se 0.546 0.417 0.825 1
Se26 Se 0.546 0.629 0.721 1
Se27 Se 0.583 0.175 0.454 1
Se28 Se 0.583 0.909 0.129 1
Se29 Se 0.591 0.175 0.221 1
Se30 Se 0.591 0.917 0.371 1
Se31 Se 0.629 0.409 0.083 1
Se32 Se 0.629 0.721 0.546 1
Se33 Se 0.675 0.083 0.954 1
Se34 Se 0.675 0.091 0.721 1
Se35 Se 0.721 0.546 0.629 1
Se36 Se 0.721 0.675 0.091 1
Se37 Se 0.779 0.409 0.825 1
Se38 Se 0.779 0.871 0.954 1
Se39 Se 0.825 0.546 0.417 1
Se40 Se 0.825 0.779 0.409 1
Se41 Se 0.871 0.417 0.091 1
Se42 Se 0.871 0.954 0.779 1
Se43 Se 0.909 0.129 0.583 1
Se44 Se 0.909 0.279 0.325 1
Se45 Se 0.917 0.046 0.325 1
Se46 Se 0.917 0.371 0.591 1
Se47 Se 0.954 0.675 0.083 1
Se48 Se 0.954 0.779 0.871 1

[3]
# PmNd4Sm2, relaxed, DFT PBE
# energy relative to the lowest polymorph listed for this composition = 0 meV per atom
# DFT formation energy = 248.6 meV per atom
# M_tot = 0.00 μB/f.u.
data_PmNd4Sm2
_space_group_name_H-M_alt 'P 1'
_space_group_IT_number 1
_cell_length_a 4.644
_cell_length_b 4.644
_cell_length_c 23.001
_cell_angle_alpha 90.00
_cell_angle_beta 90.00
_cell_angle_gamma 90.00
loop_
_space_group_symop_operation_xyz
'x,y,z'
loop_
_atom_site_label
_atom_site_type_symbol
_atom_site_fract_x
_atom_site_fract_y
_atom_site_fract_z
_atom_site_occupancy
Pm1 Pm 0.000 0.000 0.000 1
Pm2 Pm 0.500 0.500 0.500 1
Nd1 Nd 0.000 0.000 0.137 1
Nd2 Nd 0.000 0.000 0.863 1
Nd3 Nd 0.000 0.500 0.250 1
Nd4 Nd 0.000 0.500 0.750 1
Nd5 Nd 0.500 0.000 0.250 1
Nd6 Nd 0.500 0.000 0.750 1
Nd7 Nd 0.500 0.500 0.363 1
Nd8 Nd 0.500 0.500 0.637 1
Sm1 Sm 0.000 0.000 0.405 1
Sm2 Sm 0.000 0.000 0.595 1
Sm3 Sm 0.500 0.500 0.095 1
Sm4 Sm 0.500 0.500 0.905 1

[4]
# LiSc4Cl, relaxed, DFT PBE
# formation energy without anion corrections = 0.378 eV/atom
# M_tot = 0.00 μB/f.u.
data_LiSc4Cl
_space_group_name_H-M_alt 'P 1'
_space_group_IT_number 1
_cell_length_a 6.087
_cell_length_b 6.087
_cell_length_c 6.087
_cell_angle_alpha 60.00
_cell_angle_beta 60.00
_cell_angle_gamma 60.00
loop_
_space_group_symop_operation_xyz
'x,y,z'
loop_
_atom_site_label
_atom_site_type_symbol
_atom_site_fract_x
_atom_site_fract_y
_atom_site_fract_z
_atom_site_occupancy
Li1 Li 0.000 0.000 0.000 1
Sc1 Sc 0.120 0.627 0.627 1
Sc2 Sc 0.627 0.120 0.627 1
Sc3 Sc 0.627 0.627 0.120 1
Sc4 Sc 0.627 0.627 0.627 1
Cl1 Cl 0.250 0.250 0.250 1

[5]
# Ca2AlFe2, relaxed, DFT PBE
# DFT formation energy = 193.2 meV per atom
# M_tot = 3.55 μB/f.u.
data_Ca2AlFe2
_space_group_name_H-M_alt 'P 1'
_space_group_IT_number 1
_cell_length_a 6.668
_cell_length_b 6.668
_cell_length_c 4.616
_cell_angle_alpha 90.00
_cell_angle_beta 90.00
_cell_angle_gamma 90.00
loop_
_space_group_symop_operation_xyz
'x,y,z'
loop_
_atom_site_label
_atom_site_type_symbol
_atom_site_fract_x
_atom_site_fract_y
_atom_site_fract_z
_atom_site_occupancy
Ca1 Ca 0.180 0.320 0.000 1
Ca2 Ca 0.320 0.820 0.000 1
Ca3 Ca 0.680 0.180 0.000 1
Ca4 Ca 0.820 0.680 0.000 1
Al1 Al 0.000 0.000 0.500 1
Al2 Al 0.500 0.500 0.500 1
Fe1 Fe 0.117 0.617 0.500 1
Fe2 Fe 0.383 0.117 0.500 1
Fe3 Fe 0.617 0.883 0.500 1
Fe4 Fe 0.883 0.383 0.500 1

[6]
# SrCdAs, relaxed, DFT PBE
# energy relative to the lowest polymorph listed for this composition = 15 meV per atom
# DFT formation energy = -590.7 meV per atom
# M_tot = 0.00 μB/f.u.
data_SrCdAs
_space_group_name_H-M_alt 'P 1'
_space_group_IT_number 1
_cell_length_a 5.076
_cell_length_b 4.387
_cell_length_c 7.758
_cell_angle_alpha 90.00
_cell_angle_beta 90.00
_cell_angle_gamma 90.00
loop_
_space_group_symop_operation_xyz
'x,y,z'
loop_
_atom_site_label
_atom_site_type_symbol
_atom_site_fract_x
_atom_site_fract_y
_atom_site_fract_z
_atom_site_occupancy
Sr1 Sr 0.250 0.000 0.215 1
Sr2 Sr 0.750 0.000 0.785 1
Cd1 Cd 0.250 0.500 0.580 1
Cd2 Cd 0.750 0.500 0.420 1
As1 As 0.250 0.500 0.933 1
As2 As 0.750 0.500 0.067 1